ThNpS4: relaxed, PBE-GGA.

abc: 6.358 6.358 4.222
angles: 90.00 90.00 90.18
Positions (direct):
Th: 0.000 0.000 0.000
Np: 0.500 0.500 0.500
S: 0.198 0.802 0.500
S: 0.314 0.314 0.000
S: 0.686 0.686 0.000
S: 0.802 0.198 0.500

Results
**Symmetry**: Cmmm, No. 65
**Energy relative to the lowest polymorph listed for this composition**: 123.5 meV/atom
**Formation energy from raw total energies**: -1.503 eV per atom
**N(E_F)**: 1.21 states/eV per atom